Entry 1:
Rb2BaInF6: relaxed, GGA-PBE.

## Properties
Formation energy (no corrections): -2.789 eV/atom
Total energy: -4.572 eV/atom
Magnetic moment: 0.86 μB per cell

Lattice parameters (Å, degrees): 6.8565 6.8565 6.8563 60.00 60.00 90.00
Each line ends with the local moment (μB).
Atoms (fractional coordinates):
Ba (0.0000, 0.0000, 0.0000)  0.03
Rb (0.7500, 0.2500, 0.5000)  0.00
F (0.7362, 0.7362, 0.5277)  0.04
Rb (0.2500, 0.7500, 0.5000)  0.00
In (0.5000, 0.5000, 0.0000)  0.35
F (0.7362, 0.2638, 0.0000)  0.04
F (0.2638, 0.7362, 0.0000)  0.04
F (0.7362, 0.7362, 0.0000)  0.04
F (0.2638, 0.2638, 0.0000)  0.04
F (0.2638, 0.2638, 0.4723)  0.04

Entry 2:
ZnGaRe3: relaxed, GGA-PBE.

## Properties
Total energy: -6.326 eV/atom
Calculated formation energy: 2.00 eV per atom
Offset from the most stable computed form: 0 meV per atom
Magnetic moment: 0.00 μB per cell

Lattice parameters (Å, degrees): 4.5271 4.5271 4.5271 90.00 90.00 90.00
Atoms (fractional coordinates):
Re (0.5000, 0.0000, 0.0000)
Re (0.0000, 0.0000, 0.5000)
Ga (0.0000, 0.0000, 0.0000)
Zn (0.5000, 0.5000, 0.5000)
Re (0.0000, 0.5000, 0.0000)

Entry 3:
YCdHg2H: relaxed, GGA-PBE.

## Properties
Total energy: -2.463 eV/atom
Magnetic moment: 0.00 μB per cell

Lattice parameters (Å, degrees): 4.8911 4.8911 4.2405 90.00 90.00 90.00
Atoms (fractional coordinates):
Hg (0.0000, 0.5000, 0.0000)
Hg (0.5000, 0.0000, 0.0000)
Cd (0.5000, 0.5000, 0.5000)
H (0.0000, 0.0000, 0.0000)
Y (0.0000, 0.0000, 0.5000)

Entry 4:
ZrAl2Pd9: relaxed, GGA-PBE.

## Properties
Total energy: -5.917 eV/atom
Calculated formation energy: -0.69 eV per atom
Magnetic moment: 0.00 μB per cell

Lattice parameters (Å, degrees): 3.9757 3.9757 11.7222 90.00 90.00 90.00
Atoms (fractional coordinates):
Pd (0.0000, 0.5000, 0.1736)
Pd (0.0000, 0.5000, 0.5000)
Pd (0.5000, 0.0000, 0.8264)
Zr (0.0000, 0.0000, 0.0000)
Pd (0.5000, 0.5000, 0.0000)
Pd (0.5000, 0.5000, 0.6639)
Pd (0.5000, 0.0000, 0.5000)
Pd (0.5000, 0.5000, 0.3361)
Pd (0.5000, 0.0000, 0.1736)
Al (0.0000, 0.0000, 0.3415)
Al (0.0000, 0.0000, 0.6585)
Pd (0.0000, 0.5000, 0.8264)